## Na2YVO4 (PBE with a Hubbard U)

Data for crystalline Na2YVO4 at its relaxed geometry.

Its calculated total energy is -6.868 eV/atom.

The space group is P2/m (No. 10) and the conventional cell measures 5.599, 3.284 and 5.828 Å, with angles of 90.00, 108.85 and 90.00 degrees. Symmetry generates all atoms from Na at (0.000, 0.000, 0.000), Na at (0.500, 0.500, 0.000), Y at (0.000, 0.500, 0.500), V at (0.500, 0.000, 0.500), O at (0.258, 0.000, 0.708) and O at (0.282, 0.500, 0.295).